# 1
Below is a relaxed structure of BaTbYSe3, with properties calculated at the PBE level.

Summary:
The value obtained for the final energy is -5.551 eV/atom.

Cell: 7.791 7.791 10.030 Å, 90.00 90.00 145.13°
Atoms (fractional coordinates):
Ba  0.225  0.775  0.750
Ba  0.775  0.225  0.250
Tb  0.489  0.511  0.750
Tb  0.511  0.489  0.250
Y  0.000  0.000  0.000
Y  0.000  0.000  0.500
Se  0.113  0.887  0.250
Se  0.377  0.623  0.045
Se  0.377  0.623  0.455
Se  0.623  0.377  0.545
Se  0.623  0.377  0.955
Se  0.887  0.113  0.750


# 2
Below is a relaxed structure of Nb2CoB, with properties calculated at the PBE level.

Summary:
The value obtained for the final energy is -8.625 eV/atom.

Cell: 3.166 3.166 12.794 Å, 90.00 90.00 120.00°
Atoms (fractional coordinates):
Nb  0.333  0.667  0.104
Nb  0.333  0.667  0.396
Nb  0.667  0.333  0.604
Nb  0.667  0.333  0.896
Co  0.333  0.667  0.750
Co  0.667  0.333  0.250
B  0.000  0.000  0.000
B  0.000  0.000  0.500


# 3
Below is a relaxed structure of PrHoSn2Pt4, with properties calculated at the PBE level.

Summary:
The value obtained for the final energy is -6.164 eV/atom.

Cell: 4.592 4.592 9.263 Å, 90.00 90.00 120.00°
Atoms (fractional coordinates):
Pr  0.000  0.000  0.000
Ho  0.333  0.667  0.500
Sn  0.667  0.333  0.255
Sn  0.667  0.333  0.745
Pt  0.000  0.000  0.345
Pt  0.000  0.000  0.655
Pt  0.333  0.667  0.170
Pt  0.333  0.667  0.830


# 4
Below is a relaxed structure of Gd2DyAl3AgPd2, with properties calculated at the PBE level.

Summary:
The value obtained for the final energy is -4.955 eV/atom.

Cell: 3.920 7.391 7.391 Å, 119.95 90.00 90.00°
Atoms (fractional coordinates):
Gd  0.000  0.208  0.792
Gd  0.000  0.792  0.208
Dy  0.000  0.375  0.375
Al  0.500  0.045  0.045
Al  0.500  0.539  0.790
Al  0.500  0.790  0.539
Ag  0.000  0.790  0.790
Pd  0.500  0.127  0.457
Pd  0.500  0.457  0.127


# 5
Below is a relaxed structure of ReBr4, with properties calculated at the PBE level.

Summary:
The value obtained for the energy relative to the lowest polymorph listed for this composition is 0.0000 eV/atom.

Cell: 6.728 7.020 13.154 Å, 90.00 93.40 90.00°
Atoms (fractional coordinates):
Re  0.179  0.232  0.310
Re  0.179  0.768  0.810
Re  0.821  0.232  0.190
Re  0.821  0.768  0.690
Br  0.000  0.460  0.750
Br  0.000  0.540  0.250
Br  0.138  0.097  0.129
Br  0.138  0.903  0.629
Br  0.252  0.380  0.476
Br  0.252  0.620  0.976
Br  0.358  0.058  0.864
Br  0.358  0.942  0.364
Br  0.500  0.400  0.250
Br  0.500  0.600  0.750
Br  0.642  0.058  0.636
Br  0.642  0.942  0.136
Br  0.748  0.380  0.024
Br  0.748  0.620  0.524
Br  0.862  0.097  0.371
Br  0.862  0.903  0.871


# 6
Below is a relaxed structure of PrTlW, with properties calculated at the PBE level.

Summary:
The value obtained for the energy relative to the lowest polymorph listed for this composition is 0.0000 eV/atom.

Cell: 6.968 6.968 6.968 Å, 90.00 90.00 90.00°
Atoms (fractional coordinates):
Pr  0.000  0.000  0.000
Pr  0.000  0.500  0.500
Pr  0.500  0.000  0.500
Pr  0.500  0.500  0.000
Tl  0.000  0.000  0.500
Tl  0.000  0.500  0.000
Tl  0.500  0.000  0.000
Tl  0.500  0.500  0.500
W  0.250  0.250  0.250
W  0.250  0.750  0.750
W  0.750  0.250  0.750
W  0.750  0.750  0.250


# 7
Below is a relaxed structure of InTe3Mo3, with properties calculated at the PBE level.

Summary:
The value obtained for the final energy is -6.624 eV/atom.

Cell: 9.569 9.569 4.608 Å, 90.00 90.00 120.00°
Atoms (fractional coordinates):
In  0.333  0.667  0.250
In  0.667  0.333  0.750
Te  0.055  0.688  0.750
Te  0.312  0.367  0.750
Te  0.367  0.055  0.250
Te  0.633  0.945  0.750
Te  0.688  0.633  0.250
Te  0.945  0.312  0.250
Mo  0.025  0.853  0.250
Mo  0.147  0.172  0.250
Mo  0.172  0.025  0.750
Mo  0.828  0.975  0.250
Mo  0.853  0.828  0.750
Mo  0.975  0.147  0.750


# 8
Below is a relaxed structure of BaNaAu, with properties calculated at the PBE level.

Summary:
The value obtained for the final energy is -2.310 eV/atom.

Cell: 7.450 7.450 7.450 Å, 90.00 90.00 90.00°
Atoms (fractional coordinates):
Ba  0.000  0.000  0.000
Ba  0.000  0.500  0.500
Ba  0.500  0.000  0.500
Ba  0.500  0.500  0.000
Na  0.250  0.250  0.750
Na  0.250  0.750  0.250
Na  0.750  0.250  0.250
Na  0.750  0.750  0.750
Au  0.000  0.000  0.500
Au  0.000  0.500  0.000
Au  0.500  0.000  0.000
Au  0.500  0.500  0.500


Here are the calculated calculated volume numbers, same order: 29.0; 13.9; 21.1; 20.6; 31.0; 28.2; 26.1; 34.5 (A^3/atom).